Entry 1:
Computed, not measured: Rb2AuClF6 after structural relaxation at the PBE-GGA level of DFT.

abc: 6.6243 6.6243 6.6243
angles: 118.27 118.27 93.03
Closest atoms and distances in Å follow each position.
Fractional coordinates of all 10 atoms:
Rb 0.2500 0.7500 0.5000  12 F 3.34-3.42
Rb 0.7500 0.2500 0.5000  12 F 3.34-3.42
Au 0.0000 0.0000 0.0000  4 F 1.98
Cl 0.5000 0.5000 0.0000  2 F 1.89
F 0.2058 0.2058 0.4116  1 Au 1.98
F 0.2058 0.7942 0.0000  1 Au 1.98
F 0.2928 0.2928 0.0000  1 Cl 1.89
F 0.7072 0.7072 0.0000  1 Cl 1.89
F 0.7942 0.2058 0.0000  1 Au 1.98
F 0.7942 0.7942 0.5884  1 Au 1.98

E_form (uncorrected)   -1679.7 meV/atom
Crystal system   tetragonal
Final energy   -3.5084 eV/atom
Size of the total moment   0.0 Bohr magnetons per cell

Entry 2:
Computed, not measured: Dy8Sn2Au after structural relaxation at the PBE-GGA level of DFT.

abc: 9.9863 9.9863 6.7390
angles: 103.38 103.38 29.04
Closest atoms and distances in Å follow each position.
Fractional coordinates of all 11 atoms:
Dy 0.0195 0.0195 0.2773  2 Au 2.99, 1 Sn 3.17, 1 Dy 3.27
Dy 0.2173 0.2173 0.8232  3 Sn 3.18-3.30, 4 Dy 3.35-3.48
Dy 0.3484 0.3484 0.4968  1 Au 2.93, 3 Sn 3.12-3.23
Dy 0.4069 0.4069 0.0268  1 Au 3.27, 2 Sn 3.37, 5 Dy 3.48-3.61
Dy 0.5931 0.5931 0.9732  1 Au 3.27, 2 Sn 3.37, 5 Dy 3.48-3.61
Dy 0.6516 0.6516 0.5032  1 Au 2.93, 3 Sn 3.12-3.23
Dy 0.7827 0.7827 0.1768  3 Sn 3.18-3.30, 4 Dy 3.35-3.48
Dy 0.9805 0.9805 0.7227  2 Au 2.99, 1 Sn 3.17, 1 Dy 3.27
Sn 0.1819 0.1819 0.2605  9 Dy 3.12-3.37
Sn 0.8181 0.8181 0.7395  9 Dy 3.12-3.37
Au 0.5000 0.5000 0.5000  8 Dy 2.93-3.27

E_form   -4.6 eV per formula unit
Crystal system   monoclinic
Final energy   -4.7921 eV/atom
Size of the total moment   0.0 Bohr magnetons per cell

Entry 3:
Computed, not measured: MoAu2 after structural relaxation at the PBE-GGA level of DFT.

abc: 6.5074 6.5074 3.8940
angles: 90.00 90.00 140.94
Closest atoms and distances in Å follow each position.
Fractional coordinates of all 6 atoms:
Mo 0.0682 0.9318 0.7500  2 Mo 2.57, 2 Au 2.85
Mo 0.9318 0.0682 0.2500  2 Mo 2.57, 2 Au 2.85
Au 0.2517 0.7483 0.2500  8 Au 2.83-3.02, 4 Mo 2.98-3.10
Au 0.4187 0.5813 0.7500  6 Au 2.79-3.02, 6 Mo 2.85-2.92
Au 0.5813 0.4187 0.2500  6 Au 2.79-3.02, 6 Mo 2.85-2.92
Au 0.7483 0.2517 0.7500  8 Au 2.83-3.02, 4 Mo 2.98-3.10

E_form   0.6 eV per formula unit
Crystal system   orthorhombic
Final energy   -5.5984 eV/atom
Size of the total moment   0.0 Bohr magnetons per cell

Question: Among the records above, which one has the lowest final energy?
Answer: MoAu2